Here is a geometry-optimized Pa2C2Cl structure from the Alexandria database. Energies are from PBE-GGA.

Structure (POSCAR):
```
Pa2C2Cl
1.0
3.9381 0.0000 0.0000
-1.9690 3.4105 0.0000
0.0000 0.0000 7.1018
Pa C Cl
2 2 1
direct
0.3333 0.6667 0.3035
0.6667 0.3333 0.6965
0.6667 0.3333 0.3721
0.3333 0.6667 0.6279
0.0000 0.0000 0.0000
```

Space group: P-3m1, No. 164
D(E_F), states/eV/cell: 4.3
Energy relative to the elements, uncorrected, eV per atom: -0.699